(1)
Li6GaPd6: optimized geometry, PBE.

ΔH_f (0 K) = -31.2 kJ per mole of atoms
E_tot = -49.9 eV/f.u.

a b c (Å): 4.894 4.894 8.570
angles (deg): 90.00 90.00 120.04
Fractional positions:
Li (0.000, 0.500, 0.752)
Li (0.500, 0.000, 0.752)
Li (0.500, 0.500, 0.752)
Li (0.500, 0.000, 0.248)
Li (0.000, 0.500, 0.248)
Li (0.500, 0.500, 0.248)
Ga (0.000, 0.000, 0.000)
Pd (0.000, 0.000, 0.653)
Pd (0.000, 0.000, 0.347)
Pd (0.333, 0.667, 0.000)
Pd (0.667, 0.333, 0.000)
Pd (0.333, 0.667, 0.500)
Pd (0.667, 0.333, 0.500)

***

(2)
Li3Ga7Pd: optimized geometry, PBE.

ΔH_f (0 K) = -23.3 kJ per mole of atoms
E_tot = -34.8 eV/f.u.

a b c (Å): 2.909 10.644 12.360
angles (deg): 90.00 90.00 97.85
Fractional positions:
Li (0.146, 0.291, 0.431)
Li (0.854, 0.709, 0.569)
Li (0.266, 0.531, 0.750)
Li (0.734, 0.469, 0.250)
Li (0.146, 0.291, 0.069)
Li (0.854, 0.709, 0.931)
Ga (0.393, 0.786, 0.750)
Ga (0.607, 0.214, 0.250)
Ga (0.532, 0.063, 0.412)
Ga (0.468, 0.937, 0.588)
Ga (0.468, 0.937, 0.912)
Ga (0.532, 0.063, 0.088)
Ga (0.400, 0.800, 0.383)
Ga (0.600, 0.200, 0.617)
Ga (0.276, 0.553, 0.419)
Ga (0.724, 0.447, 0.581)
Ga (0.724, 0.447, 0.919)
Ga (0.276, 0.553, 0.081)
Ga (0.400, 0.800, 0.117)
Ga (0.600, 0.200, 0.883)
Pd (0.973, 0.947, 0.250)
Pd (0.027, 0.053, 0.750)

***

Volume, respectively: 178 379 Å³/cell.
M_tot, respectively: 0.0 0.0 μB/f.u..